(1)
## V5Mo4W (PBE)

Data for a geometry-optimized V5Mo4W structure.

For the formation energy from the elements, the calculation gives -0.120 eV per atom. The total magnetization comes out at 0.0 Bohr magnetons per cell.

The space group is P4/mmm (No. 123) and the conventional cell measures 3.075, 3.075 and 15.377 Å, with angles of 90.00, 90.00 and 90.00 degrees. Symmetry generates all atoms from V at (0.000, 0.000, 0.000), V at (0.000, 0.000, 0.200), V at (0.000, 0.000, 0.399), Mo at (0.500, 0.500, 0.100), Mo at (0.500, 0.500, 0.300) and W at (0.500, 0.500, 0.500).

(2)
## TmZr4Tl5 (PBE)

Data for a geometry-optimized TmZr4Tl5 structure.

For the formation energy from the elements, the calculation gives 0.086 eV per atom. The value obtained for the excess energy over the best structure of this formula in the dataset is 0.186 eV per atom. The total magnetization comes out at 0.0 Bohr magnetons per cell.

The space group is Pmmn (No. 59, origin choice 2) and the conventional cell measures 7.398, 8.988 and 7.699 Å, with angles of 90.00, 90.00 and 90.00 degrees. Symmetry generates all atoms from Tm at (0.250, 0.250, 0.079), Zr at (0.067, 0.750, 0.545), Zr at (0.250, 0.061, 0.493), Tl at (0.013, 0.555, 0.193) and Tl at (0.250, 0.750, 0.907).

(3)
## TaSi2P2 (PBE)

Data for a geometry-optimized TaSi2P2 structure.

The value obtained for the excess energy over the best structure of this formula in the dataset is 0.255 eV per atom. Its raw formation energy is 373 meV/atom. The total magnetization comes out at 0.0 Bohr magnetons per cell.

The space group is I4/mmm (No. 139) and the conventional cell measures 3.256, 3.256 and 15.625 Å, with angles of 90.00, 90.00 and 90.00 degrees. Symmetry generates all atoms from Ta at (0.000, 0.000, 0.000), Si at (0.000, 0.000, 0.415) and P at (0.000, 0.500, 0.250).

(4)
## P2HSe (PBE)

Data for a geometry-optimized P2HSe structure.

The value obtained for the excess energy over the best structure of this formula in the dataset is 0.078 eV per atom. The total magnetization comes out at 0.0 Bohr magnetons per cell.

The space group is P1 (No. 1) and the conventional cell measures 4.514, 6.659 and 6.911 Å, with angles of 100.80, 103.50 and 102.26 degrees. Symmetry generates all atoms from P at (0.000, 0.000, 0.000), P at (0.064, 0.677, 0.887), P at (0.498, 0.698, 0.147), P at (0.857, 0.982, 0.278), H at (0.582, 0.442, 0.410), H at (0.708, 0.947, 0.840), Se at (0.356, 0.576, 0.408) and Se at (0.673, 0.442, 0.938).

(5)
## RbBe2SiH (PBE)

Data for a geometry-optimized RbBe2SiH structure.

The total magnetization comes out at 0.1 Bohr magnetons per cell. As for the total DFT energy (no corrections): -14.07 eV/cell.

The space group is P4/mmm (No. 123) and the conventional cell measures 4.132, 4.132 and 7.795 Å, with angles of 90.00, 90.00 and 90.00 degrees. Symmetry generates all atoms from Rb at (0.000, 0.000, 0.000), Be at (0.000, 0.500, 0.500), Si at (0.000, 0.000, 0.500) and H at (0.500, 0.500, 0.000).

(6)
## BiAsPb3 (PBE)

Data for a geometry-optimized BiAsPb3 structure.

For the formation energy from the elements, the calculation gives 0.308 eV per atom. The value obtained for the excess energy over the best structure of this formula in the dataset is 0.249 eV per atom. The total magnetization comes out at 0.0 Bohr magnetons per cell.

The space group is Pm-3m (No. 221) and the conventional cell measures 5.619, 5.619 and 5.619 Å, with angles of 90.00, 90.00 and 90.00 degrees. Symmetry generates all atoms from Bi at (0.000, 0.000, 0.000), As at (0.500, 0.500, 0.500) and Pb at (0.000, 0.500, 0.500).

(7)
## CsSr2Ca (PBE)

Data for a geometry-optimized CsSr2Ca structure.

For the formation energy from the elements, the calculation gives 0.382 eV per atom. The value obtained for the excess energy over the best structure of this formula in the dataset is 0.275 eV per atom. The total magnetization comes out at 0.0 Bohr magnetons per cell.

The space group is I-42d (No. 122) and the conventional cell measures 10.953, 10.953 and 8.349 Å, with angles of 90.00, 90.00 and 90.00 degrees. Symmetry generates all atoms from Cs at (0.000, 0.000, 0.000), Sr at (0.235, 0.250, 0.625) and Ca at (0.000, 0.000, 0.500).

(8)
## Ag2SbSe4 (PBE)

Data for a geometry-optimized Ag2SbSe4 structure.

Its raw formation energy is 39 meV/atom. The total magnetization comes out at 0.0 Bohr magnetons per cell.

The space group is Cccm (No. 66) and the conventional cell measures 7.212, 8.429 and 11.625 Å, with angles of 90.00, 90.00 and 90.00 degrees. Symmetry generates all atoms from Ag at (0.080, 0.154, 0.000), Sb at (0.000, 0.500, 0.250), Se at (0.194, 0.387, 0.500) and Se at (0.250, 0.250, 0.192).